Entry 1:
## LiPm5Ge3 (PBE-GGA)

Data for an optimized crystal structure of LiPm5Ge3.

Lattice parameters (Å, degrees): 9.1522 9.1522 6.3102 90.00 90.00 120.00
Atoms (fractional coordinates):
Li1 0.0000 0.0000 0.0000
Li2 0.0000 0.0000 0.5000
Pm1 0.0000 0.3048 0.2500
Pm2 0.0000 0.6952 0.7500
Pm3 0.3048 0.0000 0.2500
Pm4 0.3048 0.3048 0.7500
Pm5 0.3333 0.6667 0.0000
Pm6 0.3333 0.6667 0.5000
Pm7 0.6667 0.3333 0.0000
Pm8 0.6667 0.3333 0.5000
Pm9 0.6952 0.0000 0.7500
Pm10 0.6952 0.6952 0.2500
Ge1 0.0000 0.3507 0.7500
Ge2 0.0000 0.6493 0.2500
Ge3 0.3507 0.0000 0.7500
Ge4 0.3507 0.3507 0.2500
Ge5 0.6493 0.0000 0.2500
Ge6 0.6493 0.6493 0.7500

Output
The crystal system is hexagonal.

***

Entry 2:
## LiPm2Ge6 (PBE-GGA)

Data for an optimized crystal structure of LiPm2Ge6.

Lattice parameters (Å, degrees): 7.8929 7.8929 4.0808 104.83 104.83 77.70
Atoms (fractional coordinates):
Li1 0.0000 0.0000 0.0000
Pm1 0.3424 0.3424 0.3461
Pm2 0.6574 0.6574 0.6578
Ge1 0.0425 0.5984 0.8228
Ge2 0.3606 0.6392 0.0020
Ge3 0.4015 0.9573 0.1826
Ge4 0.5984 0.0425 0.8228
Ge5 0.6392 0.3606 0.0020
Ge6 0.9573 0.4015 0.1826

Output
The crystal system is monoclinic.

***

Entry 3:
## LiPm6Ge5 (PBE-GGA)

Data for an optimized crystal structure of LiPm6Ge5.

Lattice parameters (Å, degrees): 7.6763 7.6763 7.0726 100.31 100.31 120.10
Atoms (fractional coordinates):
Li1 0.0000 0.0000 0.0000
Pm1 0.0883 0.4465 0.2661
Pm2 0.2700 0.2700 0.7441
Pm3 0.4465 0.0883 0.2661
Pm4 0.5535 0.9117 0.7339
Pm5 0.7300 0.7300 0.2559
Pm6 0.9117 0.5535 0.7339
Ge1 0.1528 0.8472 0.5000
Ge2 0.3315 0.6685 0.0000
Ge3 0.5000 0.5000 0.5000
Ge4 0.6685 0.3315 0.0000
Ge5 0.8472 0.1528 0.5000

Output
The crystal system is monoclinic.

***

Entry 4:
## LiPmGe (PBE-GGA)

Data for an optimized crystal structure of LiPmGe.

Lattice parameters (Å, degrees): 6.7495 6.7495 6.7495 90.00 90.00 90.00
Atoms (fractional coordinates):
Li1 0.0000 0.0000 0.0000
Li2 0.0000 0.5000 0.5000
Li3 0.5000 0.0000 0.5000
Li4 0.5000 0.5000 0.0000
Pm1 0.0000 0.0000 0.5000
Pm2 0.0000 0.5000 0.0000
Pm3 0.5000 0.0000 0.0000
Pm4 0.5000 0.5000 0.5000
Ge1 0.2500 0.2500 0.7500
Ge2 0.2500 0.7500 0.2500
Ge3 0.7500 0.2500 0.2500
Ge4 0.7500 0.7500 0.7500

Output
The crystal system is cubic. Its energy above the most stable polymorph in this dataset is 123 meV per atom.

***

Number 1: magnetization 0.000 μB per formula unit, energy relative to the elements -578.1 meV/atom. Number 2: magnetization 0.000 μB per formula unit, energy relative to the elements -268.2 meV/atom. Number 3: magnetization 0.000 μB per formula unit, energy relative to the elements -541.5 meV/atom. Number 4: magnetization 0.000 μB per formula unit, energy relative to the elements -557.0 meV/atom.